(1)
VASP calculation (PBE) on an optimized crystal structure of Na2Cd2In.

Cell lengths 5.123, 6.090, 10.175 Å; angles 66.62, 75.42, 65.13 degrees
Element x y z (fractional)
Na: 0.332 0.286 0.049
Na: 0.562 0.234 0.641
Na: 0.668 0.714 0.951
Na: 0.438 0.766 0.359
Cd: 0.977 0.189 0.856
Cd: 0.128 0.336 0.408
Cd: 0.023 0.811 0.144
Cd: 0.872 0.664 0.592
In: 0.753 0.194 0.299
In: 0.247 0.806 0.701

Output
As for the crystal system: monoclinic. The symmetry is C2/m, No. 12. The polymorph energy (0 for the lowest one) is 7 meV per atom. For the volume, the calculation gives 263 Å³/cell. The calculated formation energy comes out at -0.095 eV/atom. The density of states at the Fermi level is 0.3139 states/eV per atom. As for the density: 4.9 g cm⁻³.

=====

(2)
VASP calculation (PBE) on an optimized crystal structure of Na2Cd3In6.

Cell lengths 4.640, 8.859, 8.859 Å; angles 120.00, 90.00, 90.00 degrees
Element x y z (fractional)
Na: 0.000 0.667 0.333
Na: 0.000 0.333 0.667
Cd: 0.500 0.398 0.398
Cd: 0.500 0.602 0.000
Cd: 0.500 0.000 0.602
In: 0.500 0.717 0.717
In: 0.500 0.000 0.283
In: 0.000 0.200 0.200
In: 0.000 0.800 0.000
In: 0.500 0.283 0.000
In: 0.000 0.000 0.800

Output
As for the crystal system: hexagonal. The symmetry is P-62m, No. 189. For the volume, the calculation gives 315 Å³/cell. The calculated formation energy comes out at -0.035 eV/atom. The density of states at the Fermi level is 0.5122 states/eV per atom. As for the density: 5.6 g cm⁻³.

=====

(3)
VASP calculation (PBE) on an optimized crystal structure of Na5Cd4In.

Cell lengths 3.294, 3.294, 24.243 Å; angles 90.00, 90.00, 90.00 degrees
Element x y z (fractional)
Na: 0.500 0.500 0.103
Na: 0.500 0.500 0.302
Na: 0.500 0.500 0.500
Na: 0.500 0.500 0.698
Na: 0.500 0.500 0.897
Cd: 0.000 0.000 0.203
Cd: 0.000 0.000 0.401
Cd: 0.000 0.000 0.599
Cd: 0.000 0.000 0.797
In: 0.000 0.000 0.000

Output
As for the crystal system: tetragonal. The symmetry is P4/mmm, No. 123. For the volume, the calculation gives 263 Å³/cell. The calculated formation energy comes out at -0.075 eV/atom. The density of states at the Fermi level is 0.3960 states/eV per atom. As for the density: 4.3 g cm⁻³.

=====

(4)
VASP calculation (PBE) on an optimized crystal structure of NaCd2In3.

Cell lengths 6.602, 6.602, 8.906 Å; angles 68.24, 68.24, 60.00 degrees
Element x y z (fractional)
Na: 0.779 0.779 0.664
Na: 0.221 0.221 0.336
Cd: 0.000 0.000 0.000
Cd: 0.000 0.500 0.000
Cd: 0.500 0.500 0.000
Cd: 0.500 0.000 0.000
In: 0.227 0.723 0.327
In: 0.723 0.227 0.327
In: 0.723 0.723 0.327
In: 0.277 0.773 0.673
In: 0.773 0.277 0.673
In: 0.277 0.277 0.673

Output
As for the crystal system: trigonal. The symmetry is R-3m, No. 166. The polymorph energy (0 for the lowest one) is 7 meV per atom. For the volume, the calculation gives 304 Å³/cell. The calculated formation energy comes out at -0.035 eV/atom. The density of states at the Fermi level is 0.3277 states/eV per atom. As for the density: 6.5 g cm⁻³.